*i*
TlRuCl3 | GGA-PBE | relaxed

Geometry as CIF:
```
data_TlRuCl3
_chemical_formula_sum 'Tl1 Ru1 Cl3'
_symmetry_space_group_name_H-M 'P 1'
_symmetry_Int_Tables_number 1
_cell_length_a 4.938
_cell_length_b 4.938
_cell_length_c 4.938
_cell_angle_alpha 90.00
_cell_angle_beta 90.00
_cell_angle_gamma 90.00
loop_
_symmetry_equiv_pos_as_xyz
'x,y,z'
loop_
_atom_site_label
_atom_site_type_symbol
_atom_site_fract_x
_atom_site_fract_y
_atom_site_fract_z
Ru1 Ru 0.000 0.000 0.000
Tl1 Tl 0.500 0.500 0.500
Cl1 Cl 0.000 0.500 0.000
Cl2 Cl 0.000 0.000 0.500
Cl3 Cl 0.500 0.000 0.000
```

calculated volume = 24.08 Å³ per atom

=====

*ii*
TlRuCl3 | GGA-PBE | relaxed

Geometry as CIF:
```
data_TlRuCl3
_chemical_formula_sum 'Tl1 Ru1 Cl3'
_symmetry_space_group_name_H-M 'P 1'
_symmetry_Int_Tables_number 1
_cell_length_a 5.441
_cell_length_b 5.441
_cell_length_c 5.441
_cell_angle_alpha 90.00
_cell_angle_beta 90.00
_cell_angle_gamma 90.00
loop_
_symmetry_equiv_pos_as_xyz
'x,y,z'
loop_
_atom_site_label
_atom_site_type_symbol
_atom_site_fract_x
_atom_site_fract_y
_atom_site_fract_z
Ru1 Ru 0.500 0.500 0.500
Tl1 Tl 0.000 0.000 0.000
Cl1 Cl 0.000 0.500 0.000
Cl2 Cl 0.000 0.000 0.500
Cl3 Cl 0.500 0.000 0.000
```

calculated volume = 32.22 Å³ per atom

=====

Which structure is the least stable? The one labeled *ii*.

=====

*i*
Tl3RuCl6 | GGA-PBE | relaxed

Geometry as CIF:
```
data_Tl3RuCl6
_chemical_formula_sum 'Tl3 Ru1 Cl6'
_symmetry_space_group_name_H-M 'P 1'
_symmetry_Int_Tables_number 1
_cell_length_a 7.097
_cell_length_b 7.097
_cell_length_c 7.821
_cell_angle_alpha 111.46
_cell_angle_beta 111.46
_cell_angle_gamma 101.17
loop_
_symmetry_equiv_pos_as_xyz
'x,y,z'
loop_
_atom_site_label
_atom_site_type_symbol
_atom_site_fract_x
_atom_site_fract_y
_atom_site_fract_z
Tl1 Tl 0.750 0.250 0.500
Tl2 Tl 0.500 0.500 0.000
Tl3 Tl 0.250 0.750 0.500
Ru1 Ru 0.000 0.000 0.000
Cl1 Cl 0.683 0.683 0.740
Cl2 Cl 0.944 0.944 0.260
Cl3 Cl 0.056 0.056 0.740
Cl4 Cl 0.317 0.317 0.260
Cl5 Cl 0.781 0.219 0.000
Cl6 Cl 0.219 0.781 0.000
```

calculated volume = 31.59 Å³ per atom

=====

*ii*
Tl3RuCl6 | GGA-PBE | relaxed

Geometry as CIF:
```
data_Tl3RuCl6
_chemical_formula_sum 'Tl6 Ru2 Cl12'
_symmetry_space_group_name_H-M 'P 1'
_symmetry_Int_Tables_number 1
_cell_length_a 7.176
_cell_length_b 7.884
_cell_length_c 10.536
_cell_angle_alpha 90.00
_cell_angle_beta 88.66
_cell_angle_gamma 90.00
loop_
_symmetry_equiv_pos_as_xyz
'x,y,z'
loop_
_atom_site_label
_atom_site_type_symbol
_atom_site_fract_x
_atom_site_fract_y
_atom_site_fract_z
Tl1 Tl 0.527 0.930 0.755
Tl2 Tl 0.500 0.500 0.000
Tl3 Tl 0.473 0.070 0.245
Tl4 Tl 0.027 0.570 0.255
Tl5 Tl 0.000 0.000 0.500
Tl6 Tl 0.973 0.430 0.745
Ru1 Ru 0.500 0.500 0.500
Ru2 Ru 0.000 0.000 0.000
Cl1 Cl 0.724 0.160 0.963
Cl2 Cl 0.656 0.246 0.561
Cl3 Cl 0.603 0.456 0.286
Cl4 Cl 0.397 0.544 0.714
Cl5 Cl 0.344 0.754 0.439
Cl6 Cl 0.276 0.840 0.037
Cl7 Cl 0.224 0.340 0.463
Cl8 Cl 0.156 0.254 0.061
Cl9 Cl 0.103 0.044 0.786
Cl10 Cl 0.897 0.956 0.214
Cl11 Cl 0.844 0.746 0.939
Cl12 Cl 0.776 0.660 0.537
```

calculated volume = 29.79 Å³ per atom

=====

Which structure is the least stable? The one labeled *i*.

=====

*i*
TlRu2Cl | GGA-PBE | relaxed

Geometry as CIF:
```
data_TlRu2Cl
_chemical_formula_sum 'Tl1 Ru2 Cl1'
_symmetry_space_group_name_H-M 'P 1'
_symmetry_Int_Tables_number 1
_cell_length_a 4.924
_cell_length_b 4.924
_cell_length_c 4.924
_cell_angle_alpha 127.38
_cell_angle_beta 127.38
_cell_angle_gamma 77.63
loop_
_symmetry_equiv_pos_as_xyz
'x,y,z'
loop_
_atom_site_label
_atom_site_type_symbol
_atom_site_fract_x
_atom_site_fract_y
_atom_site_fract_z
Cl1 Cl 0.750 0.250 0.500
Ru1 Ru 0.000 0.000 0.000
Ru2 Ru 0.250 0.750 0.500
Tl1 Tl 0.500 0.500 0.000
```

calculated volume = 18.27 Å³ per atom

=====

*ii*
TlRu2Cl | GGA-PBE | relaxed

Geometry as CIF:
```
data_TlRu2Cl
_chemical_formula_sum 'Tl1 Ru2 Cl1'
_symmetry_space_group_name_H-M 'P 1'
_symmetry_Int_Tables_number 1
_cell_length_a 4.591
_cell_length_b 4.591
_cell_length_c 4.591
_cell_angle_alpha 60.00
_cell_angle_beta 60.00
_cell_angle_gamma 60.00
loop_
_symmetry_equiv_pos_as_xyz
'x,y,z'
loop_
_atom_site_label
_atom_site_type_symbol
_atom_site_fract_x
_atom_site_fract_y
_atom_site_fract_z
Ru1 Ru 0.250 0.250 0.250
Ru2 Ru 0.750 0.750 0.750
Tl1 Tl 0.500 0.500 0.500
Cl1 Cl 0.000 0.000 0.000
```

calculated volume = 17.10 Å³ per atom

=====

Which structure is the least stable? The one labeled *ii*.

=====

*i*
TlRu2Cl | GGA-PBE | relaxed

Geometry as CIF:
```
data_TlRu2Cl
_chemical_formula_sum 'Tl2 Ru4 Cl2'
_symmetry_space_group_name_H-M 'P 1'
_symmetry_Int_Tables_number 1
_cell_length_a 5.982
_cell_length_b 5.982
_cell_length_c 6.522
_cell_angle_alpha 62.70
_cell_angle_beta 62.70
_cell_angle_gamma 90.00
loop_
_symmetry_equiv_pos_as_xyz
'x,y,z'
loop_
_atom_site_label
_atom_site_type_symbol
_atom_site_fract_x
_atom_site_fract_y
_atom_site_fract_z
Ru1 Ru 0.553 0.125 0.250
Ru2 Ru 0.197 0.625 0.250
Ru3 Ru 0.375 0.447 0.750
Ru4 Ru 0.875 0.803 0.750
Tl1 Tl 0.000 0.000 0.000
Tl2 Tl 0.750 0.250 0.500
Cl1 Cl 0.500 0.500 0.000
Cl2 Cl 0.250 0.750 0.500
```

calculated volume = 22.21 Å³ per atom

=====

*ii*
TlRu2Cl | GGA-PBE | relaxed

Geometry as CIF:
```
data_TlRu2Cl
_chemical_formula_sum 'Tl1 Ru2 Cl1'
_symmetry_space_group_name_H-M 'P 1'
_symmetry_Int_Tables_number 1
_cell_length_a 6.405
_cell_length_b 6.405
_cell_length_c 7.961
_cell_angle_alpha 40.24
_cell_angle_beta 40.24
_cell_angle_gamma 26.88
loop_
_symmetry_equiv_pos_as_xyz
'x,y,z'
loop_
_atom_site_label
_atom_site_type_symbol
_atom_site_fract_x
_atom_site_fract_y
_atom_site_fract_z
Cl1 Cl 0.750 0.750 0.750
Ru1 Ru 0.055 0.055 0.801
Ru2 Ru 0.445 0.445 0.699
Tl1 Tl 0.250 0.250 0.250
```

calculated volume = 22.87 Å³ per atom

=====

Which structure is the least stable? The one labeled *i*.

=====

*i*
Tl2Ru2Cl | GGA-PBE | relaxed

Geometry as CIF:
```
data_Tl2Ru2Cl
_chemical_formula_sum 'Tl4 Ru4 Cl2'
_symmetry_space_group_name_H-M 'P 1'
_symmetry_Int_Tables_number 1
_cell_length_a 8.456
_cell_length_b 8.456
_cell_length_c 3.029
_cell_angle_alpha 90.00
_cell_angle_beta 90.00
_cell_angle_gamma 90.00
loop_
_symmetry_equiv_pos_as_xyz
'x,y,z'
loop_
_atom_site_label
_atom_site_type_symbol
_atom_site_fract_x
_atom_site_fract_y
_atom_site_fract_z
Ru1 Ru 0.098 0.598 0.500
Ru2 Ru 0.598 0.902 0.500
Ru3 Ru 0.902 0.402 0.500
Ru4 Ru 0.402 0.098 0.500
Tl1 Tl 0.306 0.806 0.000
Tl2 Tl 0.806 0.694 0.000
Tl3 Tl 0.694 0.194 0.000
Tl4 Tl 0.194 0.306 0.000
Cl1 Cl 0.000 0.000 0.000
Cl2 Cl 0.500 0.500 0.000
```

calculated volume = 21.65 Å³ per atom

=====

*ii*
Tl2Ru2Cl | GGA-PBE | relaxed

Geometry as CIF:
```
data_Tl2Ru2Cl
_chemical_formula_sum 'Tl2 Ru2 Cl1'
_symmetry_space_group_name_H-M 'P 1'
_symmetry_Int_Tables_number 1
_cell_length_a 3.501
_cell_length_b 3.501
_cell_length_c 9.984
_cell_angle_alpha 79.90
_cell_angle_beta 79.90
_cell_angle_gamma 90.00
loop_
_symmetry_equiv_pos_as_xyz
'x,y,z'
loop_
_atom_site_label
_atom_site_type_symbol
_atom_site_fract_x
_atom_site_fract_y
_atom_site_fract_z
Ru1 Ru 0.750 0.250 0.500
Ru2 Ru 0.250 0.750 0.500
Tl1 Tl 0.392 0.392 0.217
Tl2 Tl 0.608 0.608 0.783
Cl1 Cl 0.000 0.000 0.000
```

calculated volume = 23.72 Å³ per atom

=====

Which structure is the least stable? The one labeled *i*.

=====

*i*
V2RuCl | GGA-PBE | relaxed

Geometry as CIF:
```
data_V2RuCl
_chemical_formula_sum 'V2 Ru1 Cl1'
_symmetry_space_group_name_H-M 'P 1'
_symmetry_Int_Tables_number 1
_cell_length_a 4.326
_cell_length_b 4.326
_cell_length_c 4.326
_cell_angle_alpha 60.00
_cell_angle_beta 60.00
_cell_angle_gamma 60.00
loop_
_symmetry_equiv_pos_as_xyz
'x,y,z'
loop_
_atom_site_label
_atom_site_type_symbol
_atom_site_fract_x
_atom_site_fract_y
_atom_site_fract_z
Ru1 Ru 0.500 0.500 0.500
V1 V 0.250 0.250 0.250
V2 V 0.750 0.750 0.750
Cl1 Cl 0.000 0.000 0.000
```

calculated volume = 14.31 Å³ per atom

=====

*ii*
V2RuCl | GGA-PBE | relaxed

Geometry as CIF:
```
data_V2RuCl
_chemical_formula_sum 'V4 Ru2 Cl2'
_symmetry_space_group_name_H-M 'P 1'
_symmetry_Int_Tables_number 1
_cell_length_a 6.303
_cell_length_b 6.303
_cell_length_c 5.414
_cell_angle_alpha 54.40
_cell_angle_beta 54.40
_cell_angle_gamma 90.00
loop_
_symmetry_equiv_pos_as_xyz
'x,y,z'
loop_
_atom_site_label
_atom_site_type_symbol
_atom_site_fract_x
_atom_site_fract_y
_atom_site_fract_z
Ru1 Ru 0.000 0.000 0.000
Ru2 Ru 0.750 0.250 0.500
V1 V 0.606 0.125 0.250
V2 V 0.144 0.625 0.250
V3 V 0.375 0.394 0.750
V4 V 0.875 0.856 0.750
Cl1 Cl 0.500 0.500 0.000
Cl2 Cl 0.250 0.750 0.500
```

calculated volume = 15.27 Å³ per atom

=====

Which structure is the least stable? The one labeled *i*.

=====

*i*
Ru2WCl | GGA-PBE | relaxed

Geometry as CIF:
```
data_Ru2WCl
_chemical_formula_sum 'Ru2 W1 Cl1'
_symmetry_space_group_name_H-M 'P 1'
_symmetry_Int_Tables_number 1
_cell_length_a 3.068
_cell_length_b 3.068
_cell_length_c 6.989
_cell_angle_alpha 90.00
_cell_angle_beta 90.00
_cell_angle_gamma 90.00
loop_
_symmetry_equiv_pos_as_xyz
'x,y,z'
loop_
_atom_site_label
_atom_site_type_symbol
_atom_site_fract_x
_atom_site_fract_y
_atom_site_fract_z
Cl1 Cl 0.500 0.500 0.750
Ru1 Ru 0.000 0.000 0.040
Ru2 Ru 0.000 0.000 0.460
W1 W 0.500 0.500 0.250
```

calculated volume = 16.45 Å³ per atom

=====

*ii*
Ru2WCl | GGA-PBE | relaxed

Geometry as CIF:
```
data_Ru2WCl
_chemical_formula_sum 'Ru2 W1 Cl1'
_symmetry_space_group_name_H-M 'P 1'
_symmetry_Int_Tables_number 1
_cell_length_a 2.808
_cell_length_b 2.808
_cell_length_c 8.798
_cell_angle_alpha 90.00
_cell_angle_beta 90.00
_cell_angle_gamma 90.00
loop_
_symmetry_equiv_pos_as_xyz
'x,y,z'
loop_
_atom_site_label
_atom_site_type_symbol
_atom_site_fract_x
_atom_site_fract_y
_atom_site_fract_z
Cl1 Cl 0.500 0.500 0.674
Ru1 Ru 0.000 0.000 0.067
Ru2 Ru 0.500 0.500 0.276
W1 W 0.000 0.000 0.483
```

calculated volume = 17.35 Å³ per atom

=====

Which structure is the least stable? The one labeled *ii*.